NaGe2Au2 after structural relaxation. Source: Alexandria, functional PBE.

Cell lengths 4.764, 4.658, 9.810 Å; angles 90.00, 91.27, 90.00 degrees
Sites, in units of the cell vectors:
Na 0.239 0.250 0.245
Na 0.761 0.750 0.755
Ge 0.180 0.250 0.609
Ge 0.294 0.750 0.002
Ge 0.706 0.250 0.998
Ge 0.820 0.750 0.391
Au 0.191 0.250 0.869
Au 0.319 0.750 0.511
Au 0.681 0.250 0.489
Au 0.809 0.750 0.131

Total magnetic moment   0.0 μB/cell
ΔE to the lowest computed polymorph   3 meV/atom
Formation energy   -0.16 eV/atom
Volume   21.77 Å³ per atom
Symmetry   P2_1/m
Calculated total energy   -3.58 eV per atom